DFT (PBE-GGA) results for a relaxed structure of Na2TmP2N4.

Calculated values
Total DFT energy (no corrections), eV/cell: -55.5
Volume, Å³/atom: 14.904

Structure (extended XYZ):
```
9
Lattice="-2.201 -1.995 0.582 2.150 -0.703 5.718 -3.559 6.485 0.902" Properties=species:S:1:pos:R:3 pbc="T T T"
N -0.104 -0.597 5.429
N -2.690 2.284 5.526
N -3.506 4.384 1.773
N -0.919 1.503 1.676
P -1.056 2.934 6.062
P -2.553 0.853 1.140
Tm 0.000 0.000 0.000
Na -3.553 2.602 3.355
Na -0.056 1.185 3.847
```

---

DFT (PBE-GGA) results for a relaxed structure of NaU2PN5.

Calculated values
Total DFT energy (no corrections), eV/cell: -158.2
Volume, Å³/atom: 12.540

Structure (extended XYZ):
```
18
Lattice="6.585 0.000 0.000 0.000 6.585 0.000 -3.293 -3.293 5.205" Properties=species:S:1:pos:R:3 pbc="T T T"
U 1.257 2.036 0.000
U 2.036 5.328 0.000
U 5.328 4.550 0.000
U 4.550 1.257 0.000
N 3.293 3.293 0.000
N 4.169 0.876 3.699
N 4.169 -0.876 1.506
N -0.876 4.169 3.699
N 0.000 0.000 0.000
N 2.416 -0.876 3.699
N 0.876 4.169 1.506
N -0.876 2.416 1.506
N 0.876 2.416 3.699
N 2.416 0.876 1.506
P 0.000 3.293 2.602
P 3.293 0.000 2.602
Na 3.293 3.293 2.602
Na 0.000 0.000 2.602
```

---

DFT (PBE-GGA) results for a relaxed structure of Na4U3PN8.

Calculated values
Total DFT energy (no corrections), eV/cell: -122.4
Volume, Å³/atom: 14.344

Structure (extended XYZ):
```
16
Lattice="-1.025 -5.945 -3.263 3.886 -3.234 4.672 -5.362 3.765 2.033" Properties=species:S:1:pos:R:3 pbc="T T T"
Na 0.000 0.000 0.000
Na -2.681 1.882 1.016
Na -0.512 -2.973 -1.632
Na -3.193 -1.090 -0.615
N -0.100 -1.837 3.378
N -1.968 -0.576 1.667
N 0.171 -5.385 -0.912
N -2.672 -0.029 4.353
N -0.533 -4.839 1.774
N 0.663 -2.531 0.655
N -2.401 -3.577 0.063
N -3.164 -2.884 2.786
U 1.430 -4.590 0.704
U -1.251 -2.707 1.721
U -0.738 0.265 3.352
P 1.943 -1.617 2.336
```

---

Number 1: DOS at the Fermi energy 1.7 states/eV/f.u.. Number 2: DOS at the Fermi energy 7.8 states/eV/f.u.. Number 3: DOS at the Fermi energy 4.1 states/eV/f.u..